Na8B11C5 (PBE, relaxed); size of the total moment = 0.00 μB/f.u.; calculated total energy = -127.0 eV for the cell shown; ΔE_f = 3.1 eV per formula unit; calculated volume = 10.34 A^3/atom; space-group type = Fmm2 (42); relative energy among the computed polymorphs = 27.0 meV per atom; theoretical density = 2.43 g/cm3
1.0
0.000 8.599 5.117
2.821 0.000 5.117
2.821 8.599 0.000
Na B C
8 11 5
Direct
0.123 0.375 0.125
0.123 0.877 0.123
0.375 0.123 0.377
0.375 0.624 0.376
0.623 0.875 0.625
0.624 0.375 0.625
0.875 0.623 0.877
0.877 0.123 0.877
0.075 0.575 0.425
0.171 0.171 0.829
0.335 0.819 0.665
0.340 0.340 0.660
0.411 0.911 0.089
0.432 0.432 0.068
0.575 0.075 0.925
0.819 0.335 0.181
0.835 0.835 0.165
0.911 0.411 0.589
0.932 0.932 0.568
0.081 0.081 0.419
0.169 0.667 0.831
0.581 0.581 0.919
0.667 0.169 0.333
0.669 0.669 0.331

=====

Pa2PbN (PBE, relaxed); size of the total moment = 0.00 μB/f.u.; calculated total energy = -34.1 eV for the cell shown; calculated volume = 21.08 A^3/atom; space-group type = R-3m (166); formation energy without anion corrections = -3.06 eV per formula unit; relative energy among the computed polymorphs = 0.0 meV per atom; theoretical density = 13.46 g/cm3
1.0
1.674 0.967 8.685
-1.674 0.967 8.685
0.000 -1.933 8.685
Pa Pb N
2 1 1
Direct
0.224 0.224 0.224
0.776 0.776 0.776
0.000 0.000 0.000
0.500 0.500 0.500

=====

La8HgTe4Se3 (PBE, relaxed); size of the total moment = 0.00 μB/f.u.; calculated total energy = -88.3 eV for the cell shown; calculated volume = 31.82 A^3/atom; space-group type = R-3m (166); formation energy without anion corrections = -25.55 eV per formula unit; theoretical density = 6.72 g/cm3
1.0
4.455 2.572 7.403
-4.455 2.572 7.403
0.000 -5.145 7.403
La Hg Te Se
8 1 4 3
Direct
0.238 0.748 0.748
0.242 0.242 0.242
0.252 0.252 0.762
0.252 0.762 0.252
0.748 0.238 0.748
0.748 0.748 0.238
0.758 0.758 0.758
0.762 0.252 0.252
0.500 0.500 0.500
0.000 0.000 0.000
0.000 0.500 0.500
0.500 0.000 0.500
0.500 0.500 0.000
0.000 0.000 0.500
0.000 0.500 0.000
0.500 0.000 0.000

=====

YScZn2 (PBE, relaxed); size of the total moment = 0.00 μB/f.u.; calculated total energy = -13.3 eV for the cell shown; ΔE_f = 2.0 eV per formula unit; calculated volume = 24.84 A^3/atom; space-group type = Immm (71); theoretical density = 4.42 g/cm3
1.0
-1.558 2.692 5.923
1.558 -2.692 5.923
1.558 2.692 -5.923
Y Sc Zn
1 1 2
Direct
0.000 0.000 0.000
0.500 0.500 0.000
0.260 0.260 0.000
0.740 0.740 0.000

=====

SbMoAs (PBE, relaxed); size of the total moment = 1.71 μB/f.u.; calculated total energy = -18.6 eV for the cell shown; calculated volume = 22.31 A^3/atom; space-group type = F-43m (216); formation energy without anion corrections = 1.05 eV per formula unit; relative energy among the computed polymorphs = 352.0 meV per atom; theoretical density = 7.26 g/cm3
1.0
0.000 3.223 3.223
3.223 0.000 3.223
3.223 3.223 0.000
Sb Mo As
1 1 1
Direct
0.000 0.000 0.000
0.250 0.250 0.250
0.500 0.500 0.500

=====

LaFeAgH6 (PBE, relaxed); size of the total moment = 0.57 μB/f.u.; calculated total energy = -38.2 eV for the cell shown; calculated volume = 9.33 A^3/atom; space-group type = P-6m2 (187); theoretical density = 6.11 g/cm3
1.0
4.721 0.000 0.000
-2.360 4.088 0.000
0.000 0.000 4.350
La Fe Ag H
1 1 1 6
Direct
0.000 0.000 0.000
0.667 0.333 0.500
0.333 0.667 0.500
0.528 0.056 0.238
0.528 0.056 0.762
0.528 0.472 0.238
0.528 0.472 0.762
0.944 0.472 0.238
0.944 0.472 0.762